[1]
The following is a PBE-GGA calculation of an optimized crystal structure of Tc3RuCl, from the Alexandria database.

The calculation puts the energy relative to the lowest polymorph listed for this composition at 0.00 eV per formula unit. For the total magnetic moment, the calculation gives 0.009 μB/f.u. For the formation energy without anion corrections, the calculation gives 1.2691 eV/atom.

The space group is Pm-3m (No. 221) and the conventional cell measures 4.294, 4.294 and 4.294 Å, with angles of 90.00, 90.00 and 90.00 degrees. The distinct sites, in fractional coordinates, are Tc at (0.000, 0.000, 0.500), Ru at (0.500, 0.500, 0.500) and Cl at (0.000, 0.000, 0.000).

[2]
The following is a PBE-GGA calculation of an optimized crystal structure of AlTcSb, from the Alexandria database.

The calculation puts the energy relative to the lowest polymorph listed for this composition at 0.20 eV per formula unit. For the total magnetic moment, the calculation gives 0.000 μB/f.u. For the formation energy without anion corrections, the calculation gives 0.0031 eV/atom.

The space group is P3m1 (No. 156) and the conventional cell measures 3.1890, 3.1890 and 6.3063 Å, with angles of 90.00, 90.00 and 120.00 degrees. The distinct sites, in fractional coordinates, are Al at (0.0000, 0.0000, 0.0000), Tc at (0.6667, 0.3333, 0.7097) and Sb at (0.3333, 0.6667, 0.3974).

[3]
The following is a PBE-GGA calculation of an optimized crystal structure of Li2CaRh, from the Alexandria database.

The calculation puts the energy relative to the lowest polymorph listed for this composition at 0.23 eV per formula unit. For the total magnetic moment, the calculation gives 0.000 μB/f.u. Its formation energy from the elements is -0.6 eV per formula unit.

The space group is P4mm (No. 99) and the conventional cell measures 3.353, 3.353 and 7.096 Å, with angles of 90.00, 90.00 and 90.00 degrees. The distinct sites, in fractional coordinates, are Li at (0.000, 0.000, 0.000), Li at (0.500, 0.500, 0.208), Ca at (0.500, 0.500, 0.612) and Rh at (0.000, 0.000, 0.373).

[4]
The following is a PBE-GGA calculation of an optimized crystal structure of Mg6BiRh5, from the Alexandria database.

For the total magnetic moment, the calculation gives 0.000 μB/f.u. Its formation energy from the elements is -5.0 eV per formula unit.

The space group is Immm (No. 71) and the conventional cell measures 4.449, 6.771 and 13.138 Å, with angles of 90.00, 90.00 and 90.00 degrees. The distinct sites, in fractional coordinates, are Mg at (0.000, 0.210, 0.000), Mg at (0.000, 0.274, 0.324), Bi at (0.000, 0.000, 0.500), Rh at (0.000, 0.000, 0.173), Rh at (0.000, 0.500, 0.154) and Rh at (0.000, 0.500, 0.500).

[5]
The following is a PBE-GGA calculation of an optimized crystal structure of TcBi2W, from the Alexandria database.

The calculation puts the energy relative to the lowest polymorph listed for this composition at 0.00 eV per formula unit. For the total magnetic moment, the calculation gives 0.001 μB/f.u. Its formation energy from the elements is 3.7 eV per formula unit.

The space group is Fm-3m (No. 225) and the conventional cell measures 6.833, 6.833 and 6.833 Å, with angles of 90.00, 90.00 and 90.00 degrees. The distinct sites, in fractional coordinates, are Tc at (0.000, 0.000, 0.000), Bi at (0.250, 0.250, 0.250) and W at (0.000, 0.000, 0.500).

[6]
The following is a PBE-GGA calculation of an optimized crystal structure of FeSnTe2N, from the Alexandria database.

The calculation puts the energy relative to the lowest polymorph listed for this composition at 0.00 eV per formula unit. For the total magnetic moment, the calculation gives 0.000 μB/f.u. For the formation energy without anion corrections, the calculation gives 0.1794 eV/atom.

The space group is P4/mmm (No. 123) and the conventional cell measures 5.528, 5.528 and 3.463 Å, with angles of 90.00, 90.00 and 90.00 degrees. The distinct sites, in fractional coordinates, are Fe at (0.000, 0.000, 0.000), Sn at (0.500, 0.500, 0.500), Te at (0.000, 0.500, 0.000) and N at (0.000, 0.000, 0.500).

[7]
The following is a PBE-GGA calculation of an optimized crystal structure of CaSe, from the Alexandria database.

For the total magnetic moment, the calculation gives 0.000 μB/f.u. For the formation energy without anion corrections, the calculation gives -1.7148 eV/atom.

The space group is I-43m (No. 217) and the conventional cell measures 8.983, 8.983 and 8.983 Å, with angles of 90.00, 90.00 and 90.00 degrees. The distinct sites, in fractional coordinates, are Ca at (0.155, 0.155, 0.155) and Se at (0.165, 0.165, 0.835).

[8]
The following is a PBE-GGA calculation of an optimized crystal structure of MgCd2Mo, from the Alexandria database.

For the total magnetic moment, the calculation gives 0.000 μB/f.u. Its formation energy from the elements is 1.3 eV per formula unit.

The space group is P2/m (No. 10) and the conventional cell measures 2.896, 4.560 and 5.885 Å, with angles of 90.00, 101.21 and 90.00 degrees. The distinct sites, in fractional coordinates, are Mg at (0.000, 0.000, 0.000), Cd at (0.467, 0.500, 0.260) and Mo at (0.000, 0.000, 0.500).

[9]
The following is a PBE-GGA calculation of an optimized crystal structure of Ta2ZnInSe, from the Alexandria database.

For the total magnetic moment, the calculation gives 0.000 μB/f.u. For the formation energy without anion corrections, the calculation gives 1.1088 eV/atom.

The space group is P4/mmm (No. 123) and the conventional cell measures 4.749, 4.749 and 5.321 Å, with angles of 90.00, 90.00 and 90.00 degrees. The distinct sites, in fractional coordinates, are Ta at (0.000, 0.500, 0.000), Zn at (0.000, 0.000, 0.500), In at (0.500, 0.500, 0.500) and Se at (0.500, 0.500, 0.000).

[10]
The following is a PBE-GGA calculation of an optimized crystal structure of CoCuSi2, from the Alexandria database.

For the total magnetic moment, the calculation gives 0.000 μB/f.u. For the formation energy without anion corrections, the calculation gives 0.2328 eV/atom.

The space group is F-43m (No. 216) and the conventional cell measures 5.805, 5.805 and 5.805 Å, with angles of 90.00, 90.00 and 90.00 degrees. The distinct sites, in fractional coordinates, are Co at (0.000, 0.000, 0.000), Cu at (0.250, 0.250, 0.750), Si at (0.000, 0.000, 0.500) and Si at (0.250, 0.250, 0.250).

[11]
The following is a PBE-GGA calculation of an optimized crystal structure of ScAlW2, from the Alexandria database.

For the total magnetic moment, the calculation gives 0.000 μB/f.u. Its formation energy from the elements is -0.3 eV per formula unit.

The space group is F-43m (No. 216) and the conventional cell measures 6.445, 6.445 and 6.445 Å, with angles of 90.00, 90.00 and 90.00 degrees. The distinct sites, in fractional coordinates, are Sc at (0.000, 0.000, 0.000), Al at (0.250, 0.250, 0.750), W at (0.000, 0.000, 0.500) and W at (0.250, 0.250, 0.250).

[12]
The following is a PBE-GGA calculation of an optimized crystal structure of Mn2IrRu, from the Alexandria database.

For the total magnetic moment, the calculation gives 0.001 μB/f.u. Its formation energy from the elements is -0.3 eV per formula unit.

The space group is Amm2 (No. 38) and the conventional cell measures 3.972, 2.654 and 9.537 Å, with angles of 90.00, 90.00 and 90.00 degrees. The distinct sites, in fractional coordinates, are Mn at (0.000, 0.000, 0.000), Mn at (0.500, 0.000, 0.120), Ir at (0.500, 0.000, 0.390) and Ru at (0.000, 0.000, 0.729).

> What is the formula in the fourth record?

Mg6BiRh5

What did the ninth record say?
The following is a PBE-GGA calculation of an optimized crystal structure of Ta2ZnInSe, from the Alexandria database.

For the total magnetic moment, the calculation gives 0.000 μB/f.u. For the formation energy without anion corrections, the calculation gives 1.1088 eV/atom.

The space group is P4/mmm (No. 123) and the conventional cell measures 4.749, 4.749 and 5.321 Å, with angles of 90.00, 90.00 and 90.00 degrees. The distinct sites, in fractional coordinates, are Ta at (0.000, 0.500, 0.000), Zn at (0.000, 0.000, 0.500), In at (0.500, 0.500, 0.500) and Se at (0.500, 0.500, 0.000).

> Look up the total magnetic moment of the fifth one.

0.001 μB/f.u.